# AlCoSi2 | the Alexandria database | PBE | relaxed
# Calculated density (g/cm3): 4.16
# Electronic total energy (eV/f.u.): -21.80
# Formation energy without anion corrections (eV per atom): -0.028
data_AlCoSi2
_space_group_name_H-M_alt 'P 1 2/m 1'
_space_group_IT_number 10
_space_group_name_Hall '-P 2y'
_cell_length_a 3.253
_cell_length_b 3.908
_cell_length_c 4.633
_cell_angle_alpha 90.00
_cell_angle_beta 105.43
_cell_angle_gamma 90.00
loop_
_atom_site_label
_atom_site_fract_x
_atom_site_fract_y
_atom_site_fract_z
_atom_site_occupancy
Al1 0.000 0.000 0.000 1
Co1 0.500 0.000 0.500 1
Si1 0.430 0.500 0.741 1

# Cu2OsW | the Alexandria database | PBE | relaxed
# Formation enthalpy at 0 K (meV per atom): 310.5
# Calculated density (g/cm3): 14.93
# Electronic total energy (eV/f.u.): -31.13
data_Cu2OsW
_space_group_name_H-M_alt 'C 1 2/m 1'
_space_group_IT_number 12
_space_group_name_Hall '-C 2y'
_cell_length_a 9.037
_cell_length_b 2.711
_cell_length_c 4.621
_cell_angle_alpha 90.00
_cell_angle_beta 100.10
_cell_angle_gamma 90.00
loop_
_atom_site_label
_atom_site_fract_x
_atom_site_fract_y
_atom_site_fract_z
_atom_site_occupancy
Cu1 0.248 0.000 0.249 1
Os1 0.000 0.500 0.000 1
W1 0.000 0.000 0.500 1

# Na2In5Sn12 | the Alexandria database | PBE | relaxed
# Formation enthalpy at 0 K (meV per atom): 23.8
# Calculated density (g/cm3): 6.25
# Electronic total energy (eV/f.u.): -63.91
data_Na2In5Sn12
_space_group_name_H-M_alt 'C 1 2/m 1'
_space_group_IT_number 12
_space_group_name_Hall '-C 2y'
_cell_length_a 14.258
_cell_length_b 10.550
_cell_length_c 7.219
_cell_angle_alpha 90.00
_cell_angle_beta 90.88
_cell_angle_gamma 90.00
loop_
_atom_site_label
_atom_site_fract_x
_atom_site_fract_y
_atom_site_fract_z
_atom_site_occupancy
Na1 0.000 0.231 0.000 1
In1 0.000 0.500 0.500 1
In2 0.181 0.000 0.930 1
In3 0.240 0.500 0.518 1
Sn1 0.024 0.000 0.298 1
Sn2 0.093 0.500 0.132 1
Sn3 0.110 0.237 0.597 1
Sn4 0.197 0.239 0.211 1

# Np2U3Se8 | the Alexandria database | PBE | relaxed
# Calculated density (g/cm3): 7.74
# Electronic total energy (eV/f.u.): -101.50
# Formation energy without anion corrections (eV per atom): -1.068
data_Np2U3Se8
_space_group_name_H-M_alt 'C 1 2/m 1'
_space_group_IT_number 12
_space_group_name_Hall '-C 2y'
_cell_length_a 14.646
_cell_length_b 8.173
_cell_length_c 6.878
_cell_angle_alpha 90.00
_cell_angle_beta 108.56
_cell_angle_gamma 90.00
loop_
_atom_site_label
_atom_site_fract_x
_atom_site_fract_y
_atom_site_fract_z
_atom_site_occupancy
Np1 0.243 0.000 0.159 1
U1 0.000 0.244 0.500 1
U2 0.000 0.500 0.000 1
Se1 0.117 0.000 0.413 1
Se2 0.120 0.500 0.421 1
Se3 0.122 0.259 0.916 1

# Pm5PrYEr2 | the Alexandria database | PBE | relaxed
# Formation enthalpy at 0 K (meV per atom): 150.3
# Calculated density (g/cm3): 6.95
# Electronic total energy (eV/f.u.): -42.77
data_Pm5PrYEr2
_space_group_name_H-M_alt 'C m c 21'
_space_group_IT_number 36
_space_group_name_Hall 'C 2c -2'
_cell_length_a 5.694
_cell_length_b 20.286
_cell_length_c 10.671
_cell_angle_alpha 90.00
_cell_angle_beta 90.00
_cell_angle_gamma 90.00
loop_
_atom_site_label
_atom_site_fract_x
_atom_site_fract_y
_atom_site_fract_z
_atom_site_occupancy
Pm1 0.000 0.017 0.000 1
Pm2 0.000 0.281 0.291 1
Pm3 0.000 0.298 0.687 1
Pm4 0.000 0.387 0.002 1
Pm5 0.000 0.479 0.719 1
Pr1 0.000 0.414 0.431 1
Y1 0.000 0.200 0.990 1
Er1 0.000 0.113 0.712 1
Er2 0.000 0.116 0.298 1

# RbPdPb | the Alexandria database | PBE | relaxed
# Formation enthalpy at 0 K (meV per atom): -235.9
# Calculated density (g/cm3): 6.50
# Electronic total energy (eV/f.u.): -10.58
data_RbPdPb
_space_group_name_H-M_alt 'P 4/n m m'
_space_group_IT_number 129
_cell_length_a 5.053
_cell_length_b 5.053
_cell_length_c 7.988
_cell_angle_alpha 90.00
_cell_angle_beta 90.00
_cell_angle_gamma 90.00
loop_
_space_group_symop_operation_xyz
'x,y,z'
'-x,-y,-z'
'-y+1/2,x,z'
'y+1/2,-x,-z'
'-x+1/2,-y+1/2,z'
'x+1/2,y+1/2,-z'
'y,-x+1/2,z'
'-y,x+1/2,-z'
'x+1/2,-y,-z'
'-x+1/2,y,z'
'-y,-x,-z'
'y,x,z'
'-x,y+1/2,-z'
'x,-y+1/2,z'
'y+1/2,x+1/2,-z'
'-y+1/2,-x+1/2,z'
loop_
_atom_site_label
_atom_site_fract_x
_atom_site_fract_y
_atom_site_fract_z
_atom_site_occupancy
Rb1 0.250 0.250 0.169 1
Pd1 0.250 0.750 0.500 1
Pb1 0.250 0.250 0.647 1

# RbZr2TcSe | the Alexandria database | PBE | relaxed
# Calculated density (g/cm3): 4.94
# Electronic total energy (eV/f.u.): -27.06
# Formation energy without anion corrections (eV per atom): 0.970
data_RbZr2TcSe
_space_group_name_H-M_alt 'P 4/m m m'
_space_group_IT_number 123
_space_group_name_Hall '-P 4 2'
_cell_length_a 5.059
_cell_length_b 5.059
_cell_length_c 5.847
_cell_angle_alpha 90.00
_cell_angle_beta 90.00
_cell_angle_gamma 90.00
loop_
_atom_site_label
_atom_site_fract_x
_atom_site_fract_y
_atom_site_fract_z
_atom_site_occupancy
Rb1 0.000 0.000 0.000 1
Zr1 0.000 0.500 0.500 1
Tc1 0.500 0.500 0.000 1
Se1 0.000 0.000 0.500 1

# ReSi | the Alexandria database | PBE | relaxed
# Calculated density (g/cm3): 12.46
# Electronic total energy (eV/f.u.): -17.89
# Formation energy without anion corrections (eV per atom): -0.010
data_ReSi
_space_group_name_H-M_alt 'R -3 m'
_space_group_IT_number 166
_space_group_name_Hall '-R 3 2"'
_cell_length_a 2.8985
_cell_length_b 2.8985
_cell_length_c 23.5576
_cell_angle_alpha 90.00
_cell_angle_beta 90.00
_cell_angle_gamma 120.00
loop_
_atom_site_label
_atom_site_fract_x
_atom_site_fract_y
_atom_site_fract_z
_atom_site_occupancy
Re1 0.0000 0.0000 0.1212 1
Si1 0.0000 0.0000 0.3748 1

# RbN4Cl | the Alexandria database | PBE | relaxed
# Calculated density (g/cm3): 1.37
# Electronic total energy (eV/f.u.): -39.68
# Formation energy without anion corrections (eV per atom): -0.594
data_RbN4Cl
_space_group_name_H-M_alt 'C 1 2/m 1'
_space_group_IT_number 12
_space_group_name_Hall '-C 2y'
_cell_length_a 21.157
_cell_length_b 4.600
_cell_length_c 4.518
_cell_angle_alpha 90.00
_cell_angle_beta 102.28
_cell_angle_gamma 90.00
loop_
_atom_site_label
_atom_site_fract_x
_atom_site_fract_y
_atom_site_fract_z
_atom_site_occupancy
Rb1 0.000 0.000 0.000 1
N1 0.191 0.121 0.691 1
Cl1 0.000 0.500 0.500 1

# Hf3GaS | the Alexandria database | PBE | relaxed
# Calculated density (g/cm3): 9.49
# Electronic total energy (eV/f.u.): -38.93
# Formation energy without anion corrections (eV per atom): -0.382
data_Hf3GaS
_space_group_name_H-M_alt 'P 63/m m c'
_space_group_IT_number 194
_space_group_name_Hall '-P 6c 2c'
_cell_length_a 4.4012
_cell_length_b 4.4012
_cell_length_c 13.2988
_cell_angle_alpha 90.00
_cell_angle_beta 90.00
_cell_angle_gamma 120.00
loop_
_atom_site_label
_atom_site_fract_x
_atom_site_fract_y
_atom_site_fract_z
_atom_site_occupancy
Hf1 0.0000 0.0000 0.2500 1
Hf2 0.3333 0.6667 0.0702 1
Ga1 0.0000 0.0000 0.0000 1
S1 0.3333 0.6667 0.2500 1

# Ta2FeAu | the Alexandria database | PBE | relaxed
# Formation enthalpy at 0 K (meV per atom): 51.2
# Calculated density (g/cm3): 15.39
# Electronic total energy (eV/f.u.): -35.24
data_Ta2FeAu
_space_group_name_H-M_alt 'C m m 2'
_space_group_IT_number 35
_space_group_name_Hall 'C 2 -2'
_cell_length_a 3.522
_cell_length_b 4.365
_cell_length_c 8.630
_cell_angle_alpha 90.00
_cell_angle_beta 90.00
_cell_angle_gamma 90.00
loop_
_atom_site_label
_atom_site_fract_x
_atom_site_fract_y
_atom_site_fract_z
_atom_site_occupancy
Ta1 0.000 0.000 0.000 1
Ta2 0.000 0.500 0.266 1
Fe1 0.000 0.500 0.769 1
Au1 0.000 0.000 0.531 1

# CeHoEr2Se6 | the Alexandria database | PBE | relaxed
# Calculated density (g/cm3): 6.27
# Electronic total energy (eV/f.u.): -58.70
# Formation energy without anion corrections (eV per atom): -1.815
data_CeHoEr2Se6
_space_group_name_H-M_alt 'R 3'
_space_group_IT_number 146
_space_group_name_Hall 'R 3'
_cell_length_a 7.2478
_cell_length_b 7.2478
_cell_length_c 19.4300
_cell_angle_alpha 90.00
_cell_angle_beta 90.00
_cell_angle_gamma 120.00
loop_
_atom_site_label
_atom_site_fract_x
_atom_site_fract_y
_atom_site_fract_z
_atom_site_occupancy
Ce1 0.0000 0.0000 0.0000 1
Ho1 0.0000 0.0000 0.5051 1
Er1 0.0000 0.0000 0.1986 1
Er2 0.0000 0.0000 0.7020 1
Se1 0.0277 0.3558 0.7716 1
Se2 0.0475 0.6900 0.2709 1

What is the formula in the ninth record?
RbN4Cl

What is the formula in the tenth record?
Hf3GaS

Which of these has the highest electronic total energy?
RbPdPb

Number 8 is which compound?
ReSi